[1]
VASP calculation (SCAN) on a PBEsol-optimized structure of BTeF2.

For the uncorrected formation energy, the calculation gives -0.7 eV/f.u. As for the distance to the lowest polymorph of the same formula: 0.00 kJ/mol of atoms.

The space group is R-3m (No. 166, hexagonal axes) and the conventional cell measures 2.9921, 2.9921 and 27.7843 Å, with angles of 90.00, 90.00 and 120.00 degrees. Symmetry generates all atoms from B at (0.0000, 0.0000, 0.0000), Te at (0.0000, 0.0000, 0.5000) and F at (0.0000, 0.0000, 0.3643).

=====

[2]
VASP calculation (SCAN) on a PBEsol-optimized structure of BeCo2As.

As for the distance to the lowest polymorph of the same formula: 0.00 kJ/mol of atoms. The energy relative to the elements comes out at -0.15 eV/atom.

The space group is Immm (No. 71) and the conventional cell measures 3.603, 3.653 and 6.147 Å, with angles of 90.00, 90.00 and 90.00 degrees. Symmetry generates all atoms from Be at (0.000, 0.000, 0.000), Co at (0.000, 0.500, 0.265) and As at (0.000, 0.000, 0.500).

=====

[3]
VASP calculation (SCAN) on a PBEsol-optimized structure of Ba3Zr2S7.

For the uncorrected formation energy, the calculation gives -25.9 eV/f.u. As for the distance to the lowest polymorph of the same formula: 0.43 kJ/mol of atoms.

The space group is I4/mmm (No. 139) and the conventional cell measures 4.962, 4.962 and 25.434 Å, with angles of 90.00, 90.00 and 90.00 degrees. Symmetry generates all atoms from Ba at (0.000, 0.000, 0.000), Ba at (0.000, 0.000, 0.181), Zr at (0.000, 0.000, 0.400), S at (0.000, 0.000, 0.301), S at (0.000, 0.000, 0.500) and S at (0.000, 0.500, 0.096).

=====

[4]
VASP calculation (SCAN) on a PBEsol-optimized structure of Ga2PdRhSe.

For the uncorrected formation energy, the calculation gives 1.1 eV/f.u.

The space group is P4/mmm (No. 123) and the conventional cell measures 4.629, 4.629 and 4.809 Å, with angles of 90.00, 90.00 and 90.00 degrees. Symmetry generates all atoms from Ga at (0.000, 0.500, 0.000), Pd at (0.000, 0.000, 0.500), Rh at (0.500, 0.500, 0.000) and Se at (0.500, 0.500, 0.500).

=====

[5]
VASP calculation (SCAN) on a PBEsol-optimized structure of BeAgAu2.

The energy relative to the elements comes out at -0.14 eV/atom.

The space group is Immm (No. 71) and the conventional cell measures 3.108, 4.479 and 8.566 Å, with angles of 90.00, 90.00 and 90.00 degrees. Symmetry generates all atoms from Be at (0.000, 0.000, 0.000), Ag at (0.000, 0.000, 0.500) and Au at (0.000, 0.500, 0.296).

=====

[6]
VASP calculation (SCAN) on a PBEsol-optimized structure of LaWSe.

For the uncorrected formation energy, the calculation gives 1.9 eV/f.u. As for the distance to the lowest polymorph of the same formula: 0.00 kJ/mol of atoms.

The space group is F-43m (No. 216) and the conventional cell measures 6.423, 6.423 and 6.423 Å, with angles of 90.00, 90.00 and 90.00 degrees. Symmetry generates all atoms from La at (0.000, 0.000, 0.000), W at (0.250, 0.250, 0.250) and Se at (0.000, 0.000, 0.500).

=====

[7]
VASP calculation (SCAN) on a PBEsol-optimized structure of Re2TeAs.

For the uncorrected formation energy, the calculation gives 1.0 eV/f.u. As for the distance to the lowest polymorph of the same formula: 0.00 kJ/mol of atoms.

The space group is P4mm (No. 99) and the conventional cell measures 3.008, 3.008 and 7.943 Å, with angles of 90.00, 90.00 and 90.00 degrees. Symmetry generates all atoms from Re at (0.000, 0.000, 0.000), Re at (0.500, 0.500, 0.222), Te at (0.000, 0.000, 0.442) and As at (0.500, 0.500, 0.810).

=====

[8]
VASP calculation (SCAN) on a PBEsol-optimized structure of FeTeSe.

For the uncorrected formation energy, the calculation gives -0.3 eV/f.u.

The space group is P3m1 (No. 156) and the conventional cell measures 3.5224, 3.5224 and 5.4734 Å, with angles of 90.00, 90.00 and 120.00 degrees. Symmetry generates all atoms from Fe at (0.0000, 0.0000, 0.0000), Te at (0.3333, 0.6667, 0.2822) and Se at (0.6667, 0.3333, 0.7832).